Material: Be2SbAs
Method: DFT, GGA-PBE
State: optimized geometry

a b c (Å): 6.400 6.400 6.400
angles (deg): 128.25 128.25 76.22
Atoms (fractional coordinates):
1 Be 0.084 0.625 0.959
2 Be 0.375 0.334 0.459
3 Be 0.666 0.125 0.041
4 Be 0.875 0.916 0.541
5 Sb 0.250 0.750 0.500
6 Sb 0.500 0.500 0.000
7 As 0.000 0.000 0.000
8 As 0.750 0.250 0.500

Calculated values
The energy above the most stable polymorph in this dataset is 54 meV per atom. For the density of states at the Fermi level, the calculation gives 1.568 states/eV/cell. As for the uncorrected formation energy: 0.19 eV per atom. Its crystal system is tetragonal. Its space group is No. 122.

---

Material: CaCd2Fe
Method: DFT, GGA-PBE
State: optimized geometry

a b c (Å): 5.387 5.387 3.171
angles (deg): 90.00 90.00 109.65
Atoms (fractional coordinates):
1 Ca 0.000 0.000 0.000
2 Cd 0.000 0.500 0.500
3 Cd 0.500 0.000 0.500
4 Fe 0.500 0.500 0.000

Calculated values
For the density of states at the Fermi level, the calculation gives 4.399 states/eV/cell. Its crystal system is orthorhombic. Its space group is No. 65. For the energy of formation from the pure elements, the calculation gives 0.2900 eV per atom.

---

Material: CuPCl2
Method: DFT, GGA-PBE
State: optimized geometry

a b c (Å): 7.788 7.788 7.788
angles (deg): 155.48 144.89 43.29
Atoms (fractional coordinates):
1 Cu 0.000 0.000 0.000
2 P 0.109 0.609 0.500
3 Cl 0.640 0.640 0.000
4 Cl 0.894 0.394 0.500

Calculated values
The energy above the most stable polymorph in this dataset is 144 meV per atom. For the density of states at the Fermi level, the calculation gives 0.054 states/eV/cell. As for the uncorrected formation energy: -0.20 eV per atom. Its crystal system is orthorhombic. Its space group is No. 44.

---

Material: LaInPdAu
Method: DFT, GGA-PBE
State: optimized geometry

a b c (Å): 4.811 4.811 5.437
angles (deg): 116.37 116.37 59.91
Atoms (fractional coordinates):
1 La 0.000 0.000 0.000
2 In 0.517 0.517 0.552
3 Pd 0.212 0.212 0.637
4 Au 0.776 0.776 0.327

Calculated values
For the density of states at the Fermi level, the calculation gives 2.723 states/eV/cell. Its crystal system is monoclinic. Its space group is No. 8. For the energy of formation from the pure elements, the calculation gives -0.7231 eV per atom.

---

Material: CsSb2IO
Method: DFT, GGA-PBE
State: optimized geometry

a b c (Å): 4.775 4.775 8.209
angles (deg): 90.00 90.00 90.00
Atoms (fractional coordinates):
1 Cs 0.000 0.000 0.000
2 Sb 0.000 0.500 0.500
3 Sb 0.500 0.000 0.500
4 I 0.500 0.500 0.000
5 O 0.500 0.500 0.500

Calculated values
The energy above the most stable polymorph in this dataset is 0 meV per atom. For the density of states at the Fermi level, the calculation gives 5.246 states/eV/cell. As for the uncorrected formation energy: -0.29 eV per atom. Its crystal system is tetragonal. Its space group is No. 123.

---

Material: LaNiOs2
Method: DFT, GGA-PBE
State: optimized geometry

a b c (Å): 4.295 4.295 5.721
angles (deg): 111.97 111.97 59.99
Atoms (fractional coordinates):
1 La 0.000 0.000 0.000
2 Ni 0.199 0.199 0.599
3 Os 0.491 0.491 0.475
4 Os 0.811 0.811 0.435

Calculated values
The energy above the most stable polymorph in this dataset is 0 meV per atom. For the density of states at the Fermi level, the calculation gives 1.944 states/eV/cell. Its crystal system is monoclinic. Its space group is No. 8. For the energy of formation from the pure elements, the calculation gives -0.0800 eV per atom.

---

Material: NbHgAu
Method: DFT, GGA-PBE
State: optimized geometry

a b c (Å): 6.597 6.597 6.597
angles (deg): 153.48 153.48 37.86
Atoms (fractional coordinates):
1 Nb 0.000 0.000 0.000
2 Hg 0.330 0.330 0.000
3 Au 0.652 0.652 0.000

Calculated values
The energy above the most stable polymorph in this dataset is 0 meV per atom. For the density of states at the Fermi level, the calculation gives 1.790 states/eV/cell. Its crystal system is tetragonal. Its space group is No. 107. For the energy of formation from the pure elements, the calculation gives 0.0550 eV per atom.

---

Material: Tl4GaCl7
Method: DFT, GGA-PBE
State: optimized geometry

a b c (Å): 7.877 7.877 9.735
angles (deg): 113.51 113.51 48.74
Atoms (fractional coordinates):
1 Tl 0.102 0.102 0.279
2 Tl 0.368 0.333 0.008
3 Tl 0.667 0.632 0.992
4 Tl 0.898 0.898 0.721
5 Ga 0.489 0.511 0.500
6 Cl 0.143 0.109 0.973
7 Cl 0.150 0.850 0.500
8 Cl 0.423 0.440 0.702
9 Cl 0.511 0.205 0.341
10 Cl 0.560 0.577 0.298
11 Cl 0.795 0.489 0.659
12 Cl 0.891 0.857 0.027

Calculated values
For the density of states at the Fermi level, the calculation gives 0.000 states/eV/cell. As for the uncorrected formation energy: -1.05 eV per atom. Its crystal system is monoclinic. Its space group is No. 5.

---

Material: Sr2MgAg16
Method: DFT, GGA-PBE
State: optimized geometry

a b c (Å): 7.398 7.398 7.398
angles (deg): 82.27 82.27 82.27
Atoms (fractional coordinates):
1 Sr 0.000 0.000 0.000
2 Sr 0.314 0.314 0.314
3 Mg 0.569 0.569 0.569
4 Ag 0.007 0.007 0.507
5 Ag 0.007 0.507 0.007
6 Ag 0.164 0.660 0.660
7 Ag 0.315 0.315 0.814
8 Ag 0.315 0.814 0.315
9 Ag 0.362 0.661 0.960
10 Ag 0.362 0.960 0.661
11 Ag 0.507 0.007 0.007
12 Ag 0.660 0.164 0.660
13 Ag 0.660 0.660 0.164
14 Ag 0.661 0.362 0.960
15 Ag 0.661 0.960 0.362
16 Ag 0.759 0.759 0.759
17 Ag 0.814 0.315 0.315
18 Ag 0.960 0.362 0.661
19 Ag 0.960 0.661 0.362

Calculated values
For the density of states at the Fermi level, the calculation gives 7.499 states/eV/cell. Its crystal system is trigonal. Its space group is No. 160. For the energy of formation from the pure elements, the calculation gives -0.1255 eV per atom.

---

Material: Ni7Pd5
Method: DFT, GGA-PBE
State: optimized geometry

a b c (Å): 6.883 6.883 9.810
angles (deg): 117.66 117.66 22.38
Atoms (fractional coordinates):
1 Ni 0.000 0.000 0.000
2 Ni 0.131 0.131 0.746
3 Ni 0.166 0.166 0.493
4 Ni 0.469 0.469 0.746
5 Ni 0.531 0.531 0.254
6 Ni 0.834 0.834 0.507
7 Ni 0.869 0.869 0.254
8 Pd 0.201 0.201 0.259
9 Pd 0.340 0.340 0.008
10 Pd 0.500 0.500 0.500
11 Pd 0.660 0.660 0.992
12 Pd 0.799 0.799 0.741

Calculated values
For the density of states at the Fermi level, the calculation gives 20.853 states/eV/cell. Its crystal system is monoclinic. Its space group is No. 12. For the energy of formation from the pure elements, the calculation gives 0.0620 eV per atom.

---

Material: Sr2Pd3Pb4Au
Method: DFT, GGA-PBE
State: optimized geometry

a b c (Å): 4.854 4.854 11.153
angles (deg): 90.00 90.00 90.00
Atoms (fractional coordinates):
1 Sr 0.000 0.500 0.241
2 Sr 0.500 0.000 0.759
3 Pd 0.000 0.000 0.000
4 Pd 0.000 0.500 0.629
5 Pd 0.500 0.000 0.371
6 Pb 0.000 0.000 0.500
7 Pb 0.000 0.500 0.872
8 Pb 0.500 0.000 0.128
9 Pb 0.500 0.500 0.500
10 Au 0.500 0.500 0.000

Calculated values
For the density of states at the Fermi level, the calculation gives 4.527 states/eV/cell. Its crystal system is tetragonal. Its space group is No. 115. For the energy of formation from the pure elements, the calculation gives -0.4484 eV per atom.

---

Material: Mn2NbHPd
Method: DFT, GGA-PBE
State: optimized geometry

a b c (Å): 3.885 3.885 3.965
angles (deg): 90.00 90.00 90.00
Atoms (fractional coordinates):
1 Mn 0.000 0.500 0.000
2 Mn 0.500 0.000 0.000
3 Nb 0.000 0.000 0.500
4 H 0.000 0.000 0.000
5 Pd 0.500 0.500 0.500

Calculated values
The energy above the most stable polymorph in this dataset is 0 meV per atom. For the density of states at the Fermi level, the calculation gives 4.133 states/eV/cell. Its crystal system is tetragonal. Its space group is No. 123.

---

Material: CdMoSe2N
Method: DFT, GGA-PBE
State: optimized geometry

a b c (Å): 5.318 5.318 4.050
angles (deg): 90.00 90.00 90.00
Atoms (fractional coordinates):
1 Cd 0.000 0.000 0.000
2 Mo 0.500 0.500 0.500
3 Se 0.000 0.500 0.000
4 Se 0.500 0.000 0.000
5 N 0.000 0.000 0.500

Calculated values
The energy above the most stable polymorph in this dataset is 1398 meV per atom. For the density of states at the Fermi level, the calculation gives 3.475 states/eV/cell. As for the uncorrected formation energy: 1.47 eV per atom. Its crystal system is tetragonal. Its space group is No. 123.

---

Material: TaTlMo2
Method: DFT, GGA-PBE
State: optimized geometry

a b c (Å): 5.164 5.164 5.164
angles (deg): 133.55 133.55 67.80
Atoms (fractional coordinates):
1 Ta 0.000 0.000 0.000
2 Tl 0.250 0.750 0.500
3 Mo 0.500 0.500 0.000
4 Mo 0.750 0.250 0.500

Calculated values
The energy above the most stable polymorph in this dataset is 133 meV per atom. For the density of states at the Fermi level, the calculation gives 3.298 states/eV/cell. Its crystal system is tetragonal. Its space group is No. 119. For the energy of formation from the pure elements, the calculation gives 0.4739 eV per atom.

---

Material: K3Hg
Method: DFT, GGA-PBE
State: optimized geometry

a b c (Å): 12.329 12.329 12.329
angles (deg): 21.93 21.93 21.93
Atoms (fractional coordinates):
1 K 0.000 0.000 0.000
2 K 0.230 0.230 0.230
3 K 0.770 0.770 0.770
4 Hg 0.500 0.500 0.500

Calculated values
For the density of states at the Fermi level, the calculation gives 3.333 states/eV/cell. Its crystal system is trigonal. Its space group is No. 166. For the energy of formation from the pure elements, the calculation gives -0.0728 eV per atom.

---

Material: Li2Al7Cu2
Method: DFT, GGA-PBE
State: optimized geometry

a b c (Å): 4.786 4.868 8.852
angles (deg): 78.04 88.35 61.99
Atoms (fractional coordinates):
1 Li 0.163 0.169 0.012
2 Li 0.837 0.831 0.988
3 Al 0.022 0.699 0.616
4 Al 0.271 0.691 0.260
5 Al 0.366 0.975 0.743
6 Al 0.500 0.500 0.000
7 Al 0.634 0.025 0.257
8 Al 0.729 0.309 0.740
9 Al 0.978 0.301 0.384
10 Cu 0.496 0.751 0.502
11 Cu 0.504 0.249 0.498

Calculated values
For the density of states at the Fermi level, the calculation gives 2.895 states/eV/cell. Its crystal system is triclinic. Its space group is No. 2. For the energy of formation from the pure elements, the calculation gives -0.0699 eV per atom.

---

Material: Sm8HoIn2
Method: DFT, GGA-PBE
State: optimized geometry

a b c (Å): 9.268 9.268 6.195
angles (deg): 101.88 101.88 42.61
Atoms (fractional coordinates):
1 Sm 0.003 0.003 0.243
2 Sm 0.068 0.587 0.388
3 Sm 0.365 0.365 0.921
4 Sm 0.413 0.932 0.612
5 Sm 0.587 0.068 0.388
6 Sm 0.635 0.635 0.079
7 Sm 0.932 0.413 0.612
8 Sm 0.997 0.997 0.757
9 Ho 0.500 0.500 0.500
10 In 0.179 0.179 0.104
11 In 0.821 0.821 0.896

Calculated values
For the density of states at the Fermi level, the calculation gives 16.432 states/eV/cell. Its crystal system is monoclinic. Its space group is No. 12. For the energy of formation from the pure elements, the calculation gives -0.0793 eV per atom.